A plane-wave DFT calculation with PBE-GGA was carried out for a relaxed structure of InTe2AsCl.

Structure (CIF):
```
data_InTe2AsCl
_cell_length_a 5.291
_cell_length_b 5.291
_cell_length_c 6.406
_cell_angle_alpha 90.00
_cell_angle_beta 90.00
_cell_angle_gamma 90.00
_symmetry_space_group_name_H-M 'P 1'
_symmetry_Int_Tables_number 1
loop_
_symmetry_equiv_pos_as_xyz
'x,y,z'
loop_
_atom_site_label
_atom_site_type_symbol
_atom_site_fract_x
_atom_site_fract_y
_atom_site_fract_z
In1 In 0.000 0.000 0.000
Te1 Te 0.000 0.500 0.500
Te2 Te 0.500 0.000 0.500
As1 As 0.000 0.000 0.500
Cl1 Cl 0.500 0.500 0.000
```

Calculated values
Its formation energy from raw total energies is 0.212 eV per atom. Its total moment is 0.0 μB per formula unit. The space group is P4/mmm, No. 123. As for the mass density: 4.45 g/cm3.